Arrangement 1

{"formula": "TbGaNO", "functional": "PBE", "state": "optimized geometry", "lattice": [[-5.851, 0.376, -0.681], [0.394, -4.617, -5.938], [-0.618, -4.026, 3.089]], "species": ["O", "O", "O", "O", "Tb", "Tb", "Tb", "Tb", "Ga", "Ga", "Ga", "Ga", "N", "N", "N", "N"], "fractional_positions": [[0.933, 0.672, 0.056], [0.067, 0.328, 0.556], [0.433, 0.328, 0.056], [0.567, 0.672, 0.556], [0.553, 0.632, 0.042], [0.447, 0.368, 0.542], [0.947, 0.632, 0.542], [0.053, 0.368, 0.042], [0.091, 0.905, 0.990], [0.591, 0.095, 0.990], [0.909, 0.095, 0.490], [0.409, 0.905, 0.490], [0.898, 0.092, 0.115], [0.602, 0.092, 0.615], [0.102, 0.908, 0.615], [0.398, 0.908, 0.115]], "m_tot_mub_per_atom": 0.148}

Arrangement 2

{"formula": "TbGaNO", "functional": "PBE", "state": "optimized geometry", "lattice": [[6.388, 0.000, 0.000], [0.000, 7.078, 0.000], [0.000, 0.000, 5.063]], "species": ["O", "O", "O", "O", "N", "N", "N", "N", "Tb", "Tb", "Tb", "Tb", "Ga", "Ga", "Ga", "Ga"], "fractional_positions": [[0.908, 0.461, 0.172], [0.092, 0.539, 0.672], [0.408, 0.539, 0.172], [0.592, 0.461, 0.672], [0.082, 0.130, 0.488], [0.582, 0.870, 0.488], [0.418, 0.130, 0.988], [0.918, 0.870, 0.988], [0.434, 0.160, 0.518], [0.066, 0.160, 0.018], [0.934, 0.840, 0.518], [0.566, 0.840, 0.018], [0.105, 0.648, 0.024], [0.895, 0.352, 0.524], [0.395, 0.648, 0.524], [0.605, 0.352, 0.024]], "m_tot_mub_per_atom": 0.000}

Arrangement 3

{"formula": "TbGaNO", "functional": "PBE", "state": "optimized geometry", "lattice": [[-5.026, -0.580, 0.271], [0.714, -2.881, 4.106], [-0.270, 3.539, 2.526]], "species": ["Ga", "Ga", "O", "O", "N", "N", "Tb", "Tb"], "fractional_positions": [[0.723, 0.723, 0.000], [0.278, 0.278, 0.000], [0.684, 0.316, 0.000], [0.316, 0.684, 0.000], [0.762, 0.762, 0.501], [0.238, 0.238, 0.499], [0.235, 0.764, 0.500], [0.764, 0.235, 0.500]], "m_tot_mub_per_atom": 0.000}

Pick arrangement 3: it beats the second-best structure by 0.041 eV/atom.

Arrangement 1

{"formula": "TbGaNO", "functional": "PBE", "state": "optimized geometry", "lattice": [[3.921, 0.000, 0.000], [0.000, 5.248, 0.000], [0.000, 0.000, 5.845]], "species": ["Ga", "Ga", "N", "N", "Tb", "Tb", "O", "O"], "fractional_positions": [[0.000, 0.489, 0.309], [0.000, 0.989, 0.691], [0.000, 0.856, 0.375], [0.000, 0.356, 0.625], [0.500, 0.486, 0.793], [0.500, 0.986, 0.207], [0.500, 0.424, 0.174], [0.500, 0.924, 0.826]], "m_tot_mub_per_atom": 0.001}

Arrangement 2

{"formula": "TbGaNO", "functional": "PBE", "state": "optimized geometry", "lattice": [[-2.082, -3.606, 0.000], [0.000, 0.000, 4.992], [-4.647, 2.683, 0.000]], "species": ["N", "N", "Tb", "Tb", "Ga", "Ga", "O", "O"], "fractional_positions": [[0.000, 0.951, 0.296], [0.000, 0.451, 0.704], [0.000, 0.463, 0.274], [0.000, 0.963, 0.726], [0.500, 0.974, 0.235], [0.500, 0.474, 0.765], [0.500, 0.366, 0.125], [0.500, 0.866, 0.875]], "m_tot_mub_per_atom": 0.000}

Pick arrangement 2: it beats the second-best structure by 0.075 eV/atom.

Arrangement 1

{"formula": "ZnGa3N3O", "functional": "PBE", "state": "optimized geometry", "lattice": [[6.441, -0.001, 0.001], [-3.221, 5.575, 0.000], [0.001, 0.000, 10.427]], "species": ["N", "N", "N", "N", "N", "N", "N", "N", "N", "N", "N", "N", "Ga", "Ga", "Ga", "Ga", "Ga", "Ga", "Ga", "Ga", "Ga", "Ga", "Ga", "Ga", "O", "O", "O", "O", "Zn", "Zn", "Zn", "Zn"], "fractional_positions": [[0.666, 0.334, 0.188], [0.324, 0.163, 0.438], [0.164, 0.340, 0.687], [0.166, 0.834, 0.186], [0.842, 0.671, 0.439], [0.167, 0.333, 0.187], [0.325, 0.662, 0.437], [0.841, 0.171, 0.438], [0.334, 0.665, 0.936], [0.667, 0.833, 0.187], [0.176, 0.831, 0.685], [0.834, 0.166, 0.936], [0.333, 0.666, 0.254], [0.661, 0.837, 0.005], [0.834, 0.668, 0.257], [0.323, 0.663, 0.746], [0.834, 0.167, 0.257], [0.842, 0.173, 0.747], [0.332, 0.167, 0.255], [0.163, 0.338, 0.005], [0.164, 0.333, 0.495], [0.167, 0.832, 0.497], [0.672, 0.328, 0.006], [0.172, 0.828, 0.005], [0.832, 0.666, 0.946], [0.670, 0.325, 0.702], [0.660, 0.840, 0.702], [0.334, 0.167, 0.948], [0.322, 0.161, 0.735], [0.666, 0.333, 0.491], [0.666, 0.833, 0.488], [0.844, 0.672, 0.733]]}

Arrangement 2

{"formula": "ZnGa3N3O", "functional": "PBE", "state": "optimized geometry", "lattice": [[-3.358, -3.094, 4.501], [-2.156, 0.205, -6.037], [5.188, -8.773, -2.168]], "species": ["Ga", "Ga", "Ga", "Ga", "Ga", "Ga", "Ga", "Ga", "Ga", "Ga", "Ga", "Ga", "Zn", "Zn", "Zn", "Zn", "N", "N", "N", "N", "N", "N", "N", "N", "N", "N", "N", "N", "O", "O", "O", "O"], "fractional_positions": [[0.678, 0.338, 0.502], [0.176, 0.840, 0.002], [0.664, 0.840, 0.000], [0.162, 0.821, 0.502], [0.161, 0.340, 0.500], [0.840, 0.675, 0.252], [0.333, 0.165, 0.751], [0.166, 0.331, 0.001], [0.836, 0.174, 0.752], [0.326, 0.665, 0.750], [0.330, 0.664, 0.250], [0.841, 0.165, 0.252], [0.661, 0.322, 0.996], [0.666, 0.833, 0.495], [0.322, 0.161, 0.243], [0.838, 0.662, 0.746], [0.836, 0.173, 0.436], [0.333, 0.665, 0.937], [0.660, 0.323, 0.687], [0.327, 0.663, 0.436], [0.836, 0.663, 0.437], [0.163, 0.339, 0.186], [0.839, 0.162, 0.936], [0.323, 0.163, 0.937], [0.167, 0.333, 0.686], [0.163, 0.823, 0.186], [0.176, 0.839, 0.686], [0.665, 0.832, 0.187], [0.333, 0.167, 0.446], [0.661, 0.838, 0.697], [0.838, 0.679, 0.946], [0.678, 0.339, 0.195]]}

Arrangement 3

{"formula": "ZnGa3N3O", "functional": "PBE", "state": "optimized geometry", "lattice": [[6.428, -0.001, -0.007], [-3.214, 5.566, 0.006], [-0.011, 0.004, 10.417]], "species": ["Ga", "Ga", "Ga", "Ga", "Ga", "Ga", "Ga", "Ga", "Ga", "Ga", "Ga", "Ga", "N", "N", "N", "N", "N", "N", "N", "N", "N", "N", "N", "N", "O", "O", "O", "O", "Zn", "Zn", "Zn", "Zn"], "fractional_positions": [[0.160, 0.335, 0.000], [0.838, 0.176, 0.747], [0.167, 0.830, 0.502], [0.669, 0.333, 0.502], [0.323, 0.162, 0.255], [0.323, 0.663, 0.745], [0.166, 0.336, 0.500], [0.333, 0.666, 0.255], [0.170, 0.830, 0.001], [0.664, 0.840, 0.001], [0.839, 0.162, 0.256], [0.838, 0.677, 0.257], [0.167, 0.334, 0.186], [0.173, 0.832, 0.687], [0.326, 0.663, 0.437], [0.837, 0.175, 0.437], [0.167, 0.833, 0.186], [0.838, 0.662, 0.438], [0.840, 0.160, 0.935], [0.164, 0.337, 0.687], [0.334, 0.666, 0.937], [0.669, 0.327, 0.687], [0.333, 0.167, 0.438], [0.665, 0.833, 0.187], [0.665, 0.333, 0.193], [0.839, 0.679, 0.949], [0.321, 0.161, 0.950], [0.661, 0.838, 0.699], [0.333, 0.167, 0.738], [0.666, 0.833, 0.495], [0.672, 0.328, 0.992], [0.839, 0.661, 0.738]]}

Pick arrangement 2: it beats the second-best structure by 0.024 eV/atom.

Arrangement 1

{"formula": "NaNdGa", "functional": "PBE", "state": "optimized geometry", "lattice": [[0.000, 3.562, 3.562], [3.562, 0.000, 3.562], [3.562, 3.562, 0.000]], "species": ["Na", "Ga", "Nd"], "fractional_positions": [[0.750, 0.750, 0.750], [0.250, 0.250, 0.250], [0.000, 0.000, 0.000]], "m_tot_mub_per_atom": 0.001}

Arrangement 2

{"formula": "NaNdGa", "functional": "PBE", "state": "optimized geometry", "lattice": [[0.000, 3.546, 3.546], [3.546, 0.000, 3.546], [3.546, 3.546, 0.000]], "species": ["Na", "Ga", "Nd"], "fractional_positions": [[0.250, 0.250, 0.250], [0.000, 0.000, 0.000], [0.750, 0.750, 0.750]], "m_tot_mub_per_atom": 0.001}

Pick arrangement 2: it beats the second-best structure by 0.340 eV/atom.

Arrangement 1

{"formula": "NaZrGaNi", "functional": "PBE", "state": "optimized geometry", "lattice": [[0.453, -4.399, 1.376], [-3.633, -2.256, 1.778], [-2.020, -3.400, -2.410]], "species": ["Ni", "Na", "Zr", "Ga"], "fractional_positions": [[0.500, 0.500, 0.500], [0.750, 0.750, 0.750], [0.250, 0.250, 0.250], [0.000, 0.000, 0.000]], "m_tot_mub_per_atom": 0.000}

Arrangement 2

{"formula": "NaZrGaNi", "functional": "PBE", "state": "optimized geometry", "lattice": [[0.000, 3.180, 3.180], [3.180, 0.000, 3.180], [3.180, 3.180, 0.000]], "species": ["Na", "Ni", "Ga", "Zr"], "fractional_positions": [[0.750, 0.750, 0.750], [0.250, 0.250, 0.250], [0.500, 0.500, 0.500], [0.000, 0.000, 0.000]], "m_tot_mub_per_atom": 0.000}

Pick arrangement 2: it beats the second-best structure by 0.084 eV/atom.

Arrangement 1

{"formula": "NaGaOs", "functional": "PBE", "state": "optimized geometry", "lattice": [[0.000, 3.091, 3.091], [3.091, 0.000, 3.091], [3.091, 3.091, 0.000]], "species": ["Ga", "Os", "Na"], "fractional_positions": [[0.250, 0.250, 0.250], [0.750, 0.750, 0.750], [0.000, 0.000, 0.000]], "m_tot_mub_per_atom": 0.565}

Arrangement 2

{"formula": "NaGaOs", "functional": "PBE", "state": "optimized geometry", "lattice": [[-0.603, -0.406, 4.228], [-3.466, -2.046, 1.485], [0.412, -3.841, 1.866]], "species": ["Na", "Ga", "Os"], "fractional_positions": [[0.250, 0.250, 0.250], [0.000, 0.000, 0.000], [0.750, 0.750, 0.750]], "m_tot_mub_per_atom": 0.004}

Pick arrangement 2: it beats the second-best structure by 0.771 eV/atom.